# 1
{
  "formula": "SrHoCu2Si2",
  "functional": "PBE-GGA",
  "state": "optimized geometry",
  "lattice": [[4.123, 0.000, 0.000], [-2.062, 3.571, 0.000], [0.000, 0.000, 8.408]],
  "species": ["Sr", "Ho", "Cu", "Cu", "Si", "Si"],
  "fractional_positions": [[0.000, 0.000, 0.000], [0.000, 0.000, 0.500], [0.333, 0.667, 0.724], [0.667, 0.333, 0.276], [0.333, 0.667, 0.275], [0.667, 0.333, 0.725]],
  "sg": "P-3m1, No. 164",
  "raw_formation_energy_mev_per_atom": -513,
  "energy_ev_per_cell": -28.38
}



# 2
{
  "formula": "YHoBeCu",
  "functional": "PBE-GGA",
  "state": "optimized geometry",
  "lattice": [[6.883, 0.000, 0.000], [0.000, 6.883, 0.000], [0.000, 0.000, 6.883]],
  "species": ["Y", "Y", "Y", "Y", "Ho", "Ho", "Ho", "Ho", "Be", "Be", "Be", "Be", "Cu", "Cu", "Cu", "Cu"],
  "fractional_positions": [[0.000, 0.000, 0.000], [0.000, 0.500, 0.500], [0.500, 0.000, 0.500], [0.500, 0.500, 0.000], [0.000, 0.000, 0.500], [0.000, 0.500, 0.000], [0.500, 0.000, 0.000], [0.500, 0.500, 0.500], [0.250, 0.250, 0.750], [0.250, 0.750, 0.250], [0.750, 0.250, 0.250], [0.750, 0.750, 0.750], [0.250, 0.250, 0.250], [0.250, 0.750, 0.750], [0.750, 0.250, 0.750], [0.750, 0.750, 0.250]],
  "sg": "F-43m, No. 216",
  "formation_energy_ev_per_atom": -0.07,
  "energy_ev_per_cell": -76.58
}



# 3
{
  "formula": "Tb2ThNpAs4",
  "functional": "PBE-GGA",
  "state": "optimized geometry",
  "lattice": [[7.211, 0.000, 0.000], [0.000, 4.165, 0.000], [-2.407, 0.000, 6.804]],
  "species": ["Tb", "Tb", "Th", "Np", "As", "As", "As", "As"],
  "fractional_positions": [[0.000, 0.000, 0.000], [0.500, 0.500, 0.000], [0.000, 0.500, 0.500], [0.500, 0.000, 0.500], [0.254, 0.500, 0.250], [0.255, 0.000, 0.754], [0.745, 0.000, 0.246], [0.746, 0.500, 0.750]],
  "sg": "P2/m, No. 10",
  "formation_energy_ev_per_atom": -1.29,
  "energy_ev_per_cell": -58.57
}



# 4
{
  "formula": "DySc2Tc",
  "functional": "PBE-GGA",
  "state": "optimized geometry",
  "lattice": [[3.297, 0.000, 0.000], [0.000, 3.297, 0.000], [0.000, 0.000, 8.381]],
  "species": ["Dy", "Sc", "Sc", "Tc"],
  "fractional_positions": [[0.000, 0.000, 0.000], [0.500, 0.500, 0.318], [0.500, 0.500, 0.682], [0.000, 0.000, 0.500]],
  "sg": "P4/mmm, No. 123",
  "formation_energy_ev_per_atom": -0.10,
  "e_above_lowest_polymorph_mev_per_atom": 60.0,
  "energy_ev_per_cell": -28.02
}



# 5
{
  "formula": "LaSn2HgRu",
  "functional": "PBE-GGA",
  "state": "optimized geometry",
  "lattice": [[5.177, 0.000, 0.000], [0.000, 5.177, 0.000], [0.000, 0.000, 5.343]],
  "species": ["La", "Sn", "Sn", "Hg", "Ru"],
  "fractional_positions": [[0.000, 0.000, 0.000], [0.000, 0.500, 0.500], [0.500, 0.000, 0.500], [0.500, 0.500, 0.000], [0.000, 0.000, 0.500]],
  "sg": "P4/mmm, No. 123",
  "formation_energy_ev_per_atom": -0.30,
  "energy_ev_per_cell": -24.01
}



# 6
{
  "formula": "YZnIn4",
  "functional": "PBE-GGA",
  "state": "optimized geometry",
  "lattice": [[0.000, 4.274, 4.274], [4.274, 0.000, 4.274], [4.274, 4.274, 0.000]],
  "species": ["Y", "Zn", "In", "In", "In", "In"],
  "fractional_positions": [[0.000, 0.000, 0.000], [0.750, 0.750, 0.750], [0.375, 0.375, 0.375], [0.375, 0.375, 0.874], [0.375, 0.874, 0.375], [0.874, 0.375, 0.375]],
  "sg": "F-43m, No. 216",
  "formation_energy_ev_per_atom": 0.02,
  "energy_ev_per_cell": -18.57
}